Entry 1:
{
  "formula": "YSiOs2",
  "functional": "PBE-GGA",
  "state": "relaxed",
  "lattice_angstrom": [[4.493, -1.544, 0.000], [4.493, 1.544, 0.000], [-1.699, 0.000, 4.941]],
  "species": ["Y", "Si", "Os", "Os"],
  "frac_coords": [[0.000, 0.000, 0.000], [0.500, 0.500, 0.500], [0.222, 0.222, 0.685], [0.778, 0.778, 0.315]],
  "spacegroup": "C2/m (12)",
  "dft_energy_ev_per_atom": -8.6519,
  "n_ef_per_ev_atom": 0.5230,
  "formation_energy_uncorrected_ev_per_atom": -0.065
}

***

Entry 2:
{
  "formula": "HoAlGaCu3",
  "functional": "PBE-GGA",
  "state": "relaxed",
  "lattice_angstrom": [[3.046, -5.978, 0.000], [3.046, 5.978, 0.000], [0.000, 0.000, 5.617]],
  "species": ["Ho", "Ho", "Al", "Al", "Ga", "Ga", "Cu", "Cu", "Cu", "Cu", "Cu", "Cu"],
  "frac_coords": [[0.195, 0.805, 0.750], [0.805, 0.195, 0.250], [0.438, 0.562, 0.750], [0.562, 0.438, 0.250], [0.147, 0.853, 0.250], [0.853, 0.147, 0.750], [0.200, 0.200, 0.000], [0.200, 0.200, 0.500], [0.356, 0.644, 0.250], [0.644, 0.356, 0.750], [0.800, 0.800, 0.000], [0.800, 0.800, 0.500]],
  "spacegroup": "Cmcm (63)",
  "e_form_mev_per_atom": -143,
  "dft_energy_ev_per_atom": -4.0820,
  "n_ef_per_ev_atom": 0.4039
}

***

Entry 3:
{
  "formula": "Tb5Ce5Ru6",
  "functional": "PBE-GGA",
  "state": "relaxed",
  "lattice_angstrom": [[6.243, 0.000, 0.000], [0.000, 7.480, 3.991], [0.000, -7.480, 3.991]],
  "species": ["Tb", "Tb", "Tb", "Tb", "Tb", "Ce", "Ce", "Ce", "Ce", "Ce", "Ru", "Ru", "Ru", "Ru", "Ru", "Ru"],
  "frac_coords": [[0.000, 0.000, 0.000], [0.000, 0.263, 0.500], [0.000, 0.500, 0.263], [0.500, 0.017, 0.256], [0.500, 0.256, 0.017], [0.249, 0.588, 0.934], [0.249, 0.934, 0.588], [0.500, 0.530, 0.530], [0.751, 0.588, 0.934], [0.751, 0.934, 0.588], [0.000, 0.234, 0.836], [0.000, 0.656, 0.656], [0.000, 0.836, 0.234], [0.500, 0.288, 0.678], [0.500, 0.678, 0.288], [0.500, 0.840, 0.840]],
  "spacegroup": "Amm2 (38)",
  "e_form_mev_per_atom": -322,
  "dft_energy_ev_per_atom": -7.1015,
  "n_ef_per_ev_atom": 1.2615
}

***

Entry 4:
{
  "formula": "ZrNbFe10",
  "functional": "PBE-GGA",
  "state": "relaxed",
  "lattice_angstrom": [[3.983, 0.000, 0.000], [0.000, 4.770, 0.000], [0.000, 0.000, 8.208]],
  "species": ["Zr", "Nb", "Fe", "Fe", "Fe", "Fe", "Fe", "Fe", "Fe", "Fe", "Fe", "Fe"],
  "frac_coords": [[0.000, 0.000, 0.000], [0.000, 0.500, 0.500], [0.000, 0.000, 0.339], [0.000, 0.000, 0.661], [0.000, 0.500, 0.174], [0.000, 0.500, 0.826], [0.500, 0.000, 0.500], [0.500, 0.251, 0.254], [0.500, 0.251, 0.746], [0.500, 0.500, 0.000], [0.500, 0.749, 0.254], [0.500, 0.749, 0.746]],
  "spacegroup": "Pmmm (47)",
  "e_form_mev_per_atom": 4,
  "dft_energy_ev_per_atom": -8.5998,
  "n_ef_per_ev_atom": 1.2241
}

***

Entry 5:
{
  "formula": "CsRbHgAu2",
  "functional": "PBE-GGA",
  "state": "relaxed",
  "lattice_angstrom": [[-2.462, 2.480, 8.580], [2.462, -2.480, 8.580], [2.462, 2.480, -8.580]],
  "species": ["Cs", "Rb", "Hg", "Au", "Au"],
  "frac_coords": [[0.000, 0.000, 0.000], [0.220, 0.720, 0.500], [0.399, 0.399, 0.000], [0.570, 0.570, 0.000], [0.652, 0.152, 0.500]],
  "spacegroup": "Imm2 (44)",
  "e_form_mev_per_atom": -248,
  "dft_energy_ev_per_atom": -1.9832,
  "n_ef_per_ev_atom": 0.2135
}

***

Entry 6:
{
  "formula": "Sn3PC",
  "functional": "PBE-GGA",
  "state": "relaxed",
  "lattice_angstrom": [[4.777, 0.000, 0.000], [0.000, 4.777, 0.000], [0.000, 0.000, 4.777]],
  "species": ["Sn", "Sn", "Sn", "P", "C"],
  "frac_coords": [[0.000, 0.000, 0.500], [0.000, 0.500, 0.000], [0.500, 0.000, 0.000], [0.500, 0.500, 0.500], [0.000, 0.000, 0.000]],
  "spacegroup": "Pm-3m (221)",
  "e_form_mev_per_atom": 926,
  "relative_energy_mev_per_atom": 0,
  "dft_energy_ev_per_atom": -4.4021,
  "n_ef_per_ev_atom": 0.4124
}

***

Entry 7:
{
  "formula": "SrCr2Pt",
  "functional": "PBE-GGA",
  "state": "relaxed",
  "lattice_angstrom": [[-1.714, 2.568, 5.103], [1.714, -2.568, 5.103], [1.714, 2.568, -5.103]],
  "species": ["Sr", "Cr", "Cr", "Pt"],
  "frac_coords": [[0.000, 0.000, 0.000], [0.296, 0.796, 0.500], [0.704, 0.204, 0.500], [0.500, 0.500, 0.000]],
  "spacegroup": "Immm (71)",
  "e_form_mev_per_atom": 434,
  "dft_energy_ev_per_atom": -6.3081,
  "n_ef_per_ev_atom": 0.8560
}

***

Entry 8:
{
  "formula": "YTl2",
  "functional": "PBE-GGA",
  "state": "relaxed",
  "lattice_angstrom": [[6.199, -1.803, 0.000], [6.199, 1.803, 0.000], [-3.770, 0.000, 7.581]],
  "species": ["Y", "Y", "Tl", "Tl", "Tl", "Tl"],
  "frac_coords": [[0.091, 0.091, 0.317], [0.909, 0.909, 0.683], [0.361, 0.361, 0.342], [0.362, 0.362, 0.973], [0.638, 0.638, 0.027], [0.639, 0.639, 0.658]],
  "spacegroup": "C2/m (12)",
  "e_form_mev_per_atom": -183,
  "dft_energy_ev_per_atom": -3.9153,
  "n_ef_per_ev_atom": 0.8844
}